DFT (PBE) results for La3TlI2 after structural relaxation.

Unit cell a=8.2145 b=4.1082 c=12.8811 alpha=90.00 beta=104.31 gamma=90.00
Sites, in units of the cell vectors:
La1 0.1140 0.2500 0.1619
La2 0.2327 0.2500 0.4988
La3 0.3733 0.2500 0.8418
La4 0.6267 0.7500 0.1582
La5 0.7673 0.7500 0.5012
La6 0.8860 0.7500 0.8381
Tl1 0.0018 0.2500 0.6727
Tl2 0.9982 0.7500 0.3273
I1 0.2489 0.7500 0.0022
I2 0.4991 0.2500 0.3286
I3 0.5009 0.7500 0.6714
I4 0.7511 0.2500 0.9978

Summary:
Energy above the most stable polymorph in this dataset: 0.0000 eV/atom
ΔE_f (raw): -734 meV/atom
Total magnetic moment: 0.0 μB per cell
Space group: P2_1/m